(1)
## Pr6Mg2Ag (PBE-GGA)

Data for a relaxed structure of Pr6Mg2Ag.

```
Pr6Mg2Ag
1.0
6.496 0.000 0.952
0.000 9.828 0.000
0.587 0.000 9.280
Pr Mg Ag
12 4 2
direct
0.873 0.964 0.203
0.898 0.672 0.524
0.910 0.692 0.947
0.590 0.192 0.553
0.602 0.172 0.976
0.627 0.464 0.297
0.127 0.036 0.797
0.102 0.328 0.476
0.090 0.308 0.053
0.410 0.808 0.447
0.398 0.828 0.024
0.373 0.536 0.703
0.840 0.410 0.781
0.660 0.910 0.719
0.340 0.090 0.281
0.160 0.590 0.219
0.500 0.500 0.000
0.000 0.000 0.500
```

Results
Space group: P2_1/c (14)
Spin magnetization: 0.000 μB/atom
D(E_F): 21.30 states/eV/cell
Energy relative to the elements: 0.27 eV/f.u.

(2)
## PrMg4Ag2 (PBE-GGA)

Data for a relaxed structure of PrMg4Ag2.

```
PrMg4Ag2
1.0
4.481 0.000 0.000
0.000 8.488 0.000
0.000 0.000 8.488
Pr Mg Ag
2 8 4
direct
0.500 0.000 0.000
0.000 0.500 0.500
0.000 0.087 0.338
0.000 0.913 0.662
0.500 0.162 0.587
0.500 0.838 0.413
0.500 0.413 0.838
0.500 0.587 0.162
0.000 0.338 0.087
0.000 0.662 0.913
0.000 0.217 0.783
0.000 0.783 0.217
0.500 0.717 0.717
0.500 0.283 0.283
```

Results
Space group: P4_2/mnm (136)
Spin magnetization: 0.000 μB/atom
D(E_F): 8.42 states/eV/cell
Energy relative to the elements: -1.40 eV/f.u.

(3)
## PrMg9Ag3 (PBE-GGA)

Data for a relaxed structure of PrMg9Ag3.

```
PrMg9Ag3
1.0
-0.067 -5.399 1.567
6.064 -3.732 -2.735
3.638 -1.040 6.659
Pr Mg Ag
1 9 3
direct
0.000 0.000 0.000
0.708 0.789 0.781
0.292 0.211 0.219
0.511 0.211 0.781
0.489 0.789 0.219
0.651 0.341 0.354
0.349 0.659 0.646
0.995 0.659 0.354
0.005 0.341 0.646
0.000 0.500 0.000
0.500 0.500 0.000
0.000 0.000 0.500
0.500 0.000 0.500
```

Results
Space group: C2/m (12)
Spin magnetization: 0.000 μB/atom
D(E_F): 6.31 states/eV/cell
Energy relative to the elements: -2.25 eV/f.u.

(4)
## Pr3MgAg3 (PBE-GGA)

Data for a relaxed structure of Pr3MgAg3.

```
Pr3MgAg3
1.0
7.189 1.366 0.343
-1.980 7.045 0.343
-0.383 -0.618 7.183
Pr Mg Ag
6 2 6
direct
0.645 0.645 0.376
0.167 0.833 0.500
0.833 0.167 0.500
0.273 0.727 0.000
0.727 0.273 0.000
0.355 0.355 0.624
0.738 0.738 0.859
0.262 0.262 0.141
0.915 0.915 0.160
0.975 0.506 0.718
0.506 0.975 0.718
0.025 0.494 0.282
0.494 0.025 0.282
0.085 0.085 0.840
```

Results
Space group: C2/m (12)
Spin magnetization: 0.000 μB/atom
D(E_F): 12.04 states/eV/cell
Energy relative to the elements: -0.81 eV/f.u.

> Look up the D(E_F) of the fourth one.

12.04 states/eV/cell

Repeat the third record exactly.
## PrMg9Ag3 (PBE-GGA)

Data for a relaxed structure of PrMg9Ag3.

```
PrMg9Ag3
1.0
-0.067 -5.399 1.567
6.064 -3.732 -2.735
3.638 -1.040 6.659
Pr Mg Ag
1 9 3
direct
0.000 0.000 0.000
0.708 0.789 0.781
0.292 0.211 0.219
0.511 0.211 0.781
0.489 0.789 0.219
0.651 0.341 0.354
0.349 0.659 0.646
0.995 0.659 0.354
0.005 0.341 0.646
0.000 0.500 0.000
0.500 0.500 0.000
0.000 0.000 0.500
0.500 0.000 0.500
```

Results
Space group: C2/m (12)
Spin magnetization: 0.000 μB/atom
D(E_F): 6.31 states/eV/cell
Energy relative to the elements: -2.25 eV/f.u.

> The lowest energy relative to the elements belongs to which entry?

PrMg9Ag3

> Which formula does entry 4 have?

Pr3MgAg3